DFT (GGA-PBE) results for an optimized crystal structure of Zr2MnHAu.

The structure in POSCAR format:
```
Zr2MnHAu
1.0
-0.809 -3.032 3.291
4.128 0.784 1.738
-1.375 2.627 2.081
Zr Mn H Au
2 1 1 1
Direct
0.500 0.000 0.000
0.000 0.500 0.000
0.000 0.000 0.500
0.000 0.000 0.000
0.500 0.500 0.500
```

Calculated values
DOS(E_F) (states/eV/atom): 0.551
Total moment (μB per formula unit): 0.00
Calculated total energy (eV/cell): -34.14

***

DFT (GGA-PBE) results for an optimized crystal structure of AgBPd.

The structure in POSCAR format:
```
AgBPd
1.0
-0.306 0.544 -2.841
-2.034 -2.214 -0.205
-6.915 6.040 3.391
Pd B Ag
2 2 2
Direct
0.929 0.250 0.858
0.071 0.750 0.142
0.524 0.250 0.048
0.476 0.750 0.952
0.197 0.250 0.394
0.803 0.750 0.606
```

Calculated values
DOS(E_F) (states/eV/atom): 0.433
Total moment (μB per formula unit): 0.00
Calculated total energy (eV/cell): -28.44
DFT formation energy (eV/atom): 0.17

***

DFT (GGA-PBE) results for an optimized crystal structure of TbGaCu2Au4.

The structure in POSCAR format:
```
TbGaCu2Au4
1.0
4.697 0.000 0.000
2.349 4.068 0.000
2.349 1.356 7.455
Ga Au Cu Tb
1 4 2 1
Direct
0.500 0.500 0.500
0.134 0.134 0.597
0.866 0.866 0.403
0.386 0.386 0.843
0.614 0.614 0.157
0.259 0.259 0.223
0.741 0.741 0.777
0.000 0.000 0.000
```

Calculated values
DOS(E_F) (states/eV/atom): 0.183
Total moment (μB per formula unit): 0.00
Calculated total energy (eV/cell): -31.43
DFT formation energy (eV/atom): -0.31

***

DFT (GGA-PBE) results for an optimized crystal structure of Sm5Tl2Os.

The structure in POSCAR format:
```
Sm5Tl2Os
1.0
4.744 0.000 0.000
0.000 7.990 0.000
0.000 0.000 12.357
Tl Sm Os
4 10 2
Direct
0.500 0.072 0.331
0.500 0.572 0.169
0.500 0.928 0.669
0.500 0.428 0.831
0.000 0.500 0.000
0.000 0.000 0.500
0.000 0.358 0.298
0.000 0.858 0.202
0.000 0.142 0.798
0.000 0.642 0.702
0.500 0.683 0.430
0.500 0.817 0.930
0.500 0.317 0.570
0.500 0.183 0.070
0.000 0.000 0.000
0.000 0.500 0.500
```

Calculated values
DOS(E_F) (states/eV/atom): 0.907
Total moment (μB per formula unit): 0.00
Calculated total energy (eV/cell): -83.62
DFT formation energy (eV/atom): -0.28
Offset from the most stable computed form (eV/atom): 0.000

***

DFT (GGA-PBE) results for an optimized crystal structure of Ba3TiBe2O6.

The structure in POSCAR format:
```
Ba3TiBe2O6
1.0
-3.429 -2.054 3.875
-1.200 -0.637 -5.399
3.658 -6.251 -0.076
O Be Ba Ti
6 2 3 1
Direct
0.343 0.172 0.664
0.172 0.828 0.336
0.828 0.172 0.664
0.172 0.343 0.336
0.657 0.828 0.336
0.828 0.657 0.664
0.333 0.667 0.293
0.667 0.333 0.707
0.000 0.000 0.000
0.667 0.333 0.315
0.333 0.667 0.685
0.000 0.000 0.500
```

Calculated values
DOS(E_F) (states/eV/atom): 0.302
Total moment (μB per formula unit): 0.36
Calculated total energy (eV/cell): -81.28

***

DFT (GGA-PBE) results for an optimized crystal structure of LaEr2Hg.

The structure in POSCAR format:
```
LaEr2Hg
1.0
-2.248 -2.198 1.849
-0.843 -1.739 -3.093
6.695 -5.692 1.374
Er La Hg
2 1 1
Direct
0.000 0.000 0.788
0.000 0.000 0.212
0.500 0.500 0.500
0.500 0.500 0.000
```

Calculated values
DOS(E_F) (states/eV/atom): 1.480
Total moment (μB per formula unit): 0.00
Calculated total energy (eV/cell): -15.25
DFT formation energy (eV/atom): -0.22
Offset from the most stable computed form (eV/atom): 0.011

***

DFT (GGA-PBE) results for an optimized crystal structure of Dy4TmSc3.

The structure in POSCAR format:
```
Dy4TmSc3
1.0
6.045 0.000 0.000
0.000 7.019 0.000
0.000 0.000 10.864
Dy Sc Tm
8 6 2
Direct
0.025 0.127 0.751
0.525 0.873 0.251
0.862 0.871 0.500
0.525 0.873 0.749
0.025 0.127 0.249
0.362 0.129 0.000
0.354 0.622 0.000
0.854 0.378 0.500
0.019 0.624 0.246
0.862 0.872 0.000
0.019 0.624 0.754
0.362 0.128 0.500
0.519 0.376 0.254
0.519 0.376 0.746
0.350 0.621 0.500
0.850 0.379 0.000
```

Calculated values
DOS(E_F) (states/eV/atom): 1.778
Total moment (μB per formula unit): 0.00
Calculated total energy (eV/cell): -83.39
DFT formation energy (eV/atom): 0.02
Offset from the most stable computed form (eV/atom): 0.000

***

DFT (GGA-PBE) results for an optimized crystal structure of Sc2OsRu.

The structure in POSCAR format:
```
Sc2OsRu
1.0
-1.451 -0.613 2.799
0.337 -3.152 -0.516
5.706 0.122 2.984
Ru Sc Os
1 2 1
Direct
0.500 0.500 0.750
0.000 0.000 0.501
0.000 0.000 0.999
0.500 0.500 0.250
```

Calculated values
DOS(E_F) (states/eV/atom): 1.139
Total moment (μB per formula unit): 0.00
Calculated total energy (eV/cell): -34.89
DFT formation energy (eV/atom): -0.43

***

> The lowest DOS(E_F) belongs to which entry?

TbGaCu2Au4

***

> DOS(E_F) of number 6 (LaEr2Hg)?

1.480 states/eV/atom

***

> The lowest calculated total energy belongs to which entry?

Sm5Tl2Os

***

> Which value of total moment does entry 1 give?

0.00 μB per formula unit